CsPtI2N: optimized geometry, PBE-GGA.

a = 7.0567 Å, b = 7.0567 Å, c = 4.7972 Å
α = 90.00°, β = 90.00°, γ = 90.00°
Fractional positions:
Cs 0.0000 0.0000 0.0000
Pt 0.5000 0.5000 0.5000
I 0.0000 0.5000 0.0000
I 0.5000 0.0000 0.0000
N 0.0000 0.0000 0.5000

Values from the calculation:
Total moment, μB per formula unit: 3.3
Energy above the most stable polymorph in this dataset, meV/atom: 1865
Formation energy from raw total energies, eV/atom: 1.780
Space group: No. 123

=====

LiZn2Br: optimized geometry, PBE-GGA.

a = 8.3085 Å, b = 8.3085 Å, c = 8.3085 Å
α = 24.85°, β = 24.85°, γ = 24.85°
Fractional positions:
Li 0.0000 0.0000 0.0000
Zn 0.2511 0.2511 0.2511
Zn 0.7489 0.7489 0.7489
Br 0.5000 0.5000 0.5000

Values from the calculation:
Total moment, μB per formula unit: 0.0
Energy above the most stable polymorph in this dataset, meV/atom: 294
Formation energy from raw total energies, eV/atom: -0.156
Space group: No. 166

=====

Hf5Zr5Sc2: optimized geometry, PBE-GGA.

a = 7.1485 Å, b = 7.1485 Å, c = 10.0703 Å
α = 115.28°, β = 115.28°, γ = 36.71°
Fractional positions:
Hf 0.0000 0.0000 0.0000
Hf 0.1691 0.1691 0.5004
Hf 0.2478 0.2478 0.2520
Hf 0.7522 0.7522 0.7480
Hf 0.8309 0.8309 0.4996
Zr 0.3335 0.3335 0.9979
Zr 0.4149 0.4149 0.7495
Zr 0.5000 0.5000 0.5000
Zr 0.5851 0.5851 0.2505
Zr 0.6665 0.6665 0.0021
Sc 0.0836 0.0836 0.7496
Sc 0.9164 0.9164 0.2504

Values from the calculation:
Total moment, μB per formula unit: 0.0
Formation energy, kcal/mol of atoms: 1.08
Space group: No. 12

=====

Among the records above, which one has the highest total moment?
CsPtI2N

=====

Look up the total moment of the first one.
3.3 μB per formula unit